[1]
{"formula": "TaZnCu2", "functional": "PBE-GGA", "state": "relaxed", "lattice": [[-1.344, 2.314, 4.620], [1.344, -2.314, 4.620], [1.344, 2.314, -4.620]], "species": ["Ta", "Zn", "Cu", "Cu"], "fractional_positions": [[0.000, 0.000, 0.000], [0.730, 0.230, 0.500], [0.263, 0.763, 0.500], [0.495, 0.495, 0.000]], "delta_e_f_ev_per_atom": 0.153, "m_tot_mub_per_atom": 0.000, "crystal_system": "orthorhombic", "spacegroup": "Imm2"}


[2]
{"formula": "TaZn2Cu", "functional": "PBE-GGA", "state": "relaxed", "lattice": [[2.855, 0.000, 0.000], [0.000, 2.855, 0.000], [0.000, 0.000, 7.226]], "species": ["Ta", "Zn", "Zn", "Cu"], "fractional_positions": [[0.000, 0.000, 0.000], [0.000, 0.000, 0.521], [0.500, 0.500, 0.274], [0.500, 0.500, 0.740]], "delta_e_f_ev_per_atom": -0.011, "de_polymorph_ev_per_atom": 0.033, "m_tot_mub_per_atom": 0.000, "crystal_system": "tetragonal", "spacegroup": "P4mm"}


[3]
{"formula": "TaZnCu2", "functional": "PBE-GGA", "state": "relaxed", "lattice": [[4.468, -1.328, 0.000], [4.468, 1.328, 0.000], [-0.971, 0.000, 4.837]], "species": ["Ta", "Zn", "Cu", "Cu"], "fractional_positions": [[0.000, 0.000, 0.000], [0.762, 0.762, 0.304], [0.244, 0.244, 0.768], [0.507, 0.507, 0.506]], "delta_e_f_ev_per_atom": 0.150, "m_tot_mub_per_atom": 0.000, "crystal_system": "monoclinic", "spacegroup": "Cm"}